# 1
# ErGaHg

A geometry-optimized ErGaHg structure (GGA-PBE, Alexandria via LeMat-Bulk).

Lattice parameters (Å, degrees): 11.1816 11.1816 4.6506 90.00 90.00 90.00
Space group I4/mmm (No. 139)
Asymmetric unit:
Er 0.0000 0.2147 0.0000 [8 per cell]
Ga 0.2020 0.2020 0.5000 [8 per cell]
Hg 0.0000 0.3703 0.5000 [8 per cell]

Results
Its crystal system is tetragonal. The value obtained for the formation energy is -0.67 eV per formula unit. Its theoretical density is 10.00 Mg/m³. The magnetic moment comes out at 0.00 μB/f.u.

# 2
# Tb4ScCd

A geometry-optimized Tb4ScCd structure (GGA-PBE, Alexandria via LeMat-Bulk).

Lattice parameters (Å, degrees): 8.6466 14.0865 6.1793 90.00 109.41 90.00
Space group C2/c (No. 15)
Asymmetric unit:
Tb 0.0986 0.1927 0.0459 [8 per cell]
Tb 0.2084 0.3878 0.3738 [8 per cell]
Sc 0.0000 0.4051 0.7500 [4 per cell]
Cd 0.0000 0.0005 0.7500 [4 per cell]

Results
Its crystal system is monoclinic. The value obtained for the formation energy is 0.22 eV per formula unit. Its theoretical density is 7.42 Mg/m³. The magnetic moment comes out at 0.00 μB/f.u.

# 3
# TcNi2Ag

A geometry-optimized TcNi2Ag structure (GGA-PBE, Alexandria via LeMat-Bulk).

Lattice parameters (Å, degrees): 2.6174 4.1403 5.1211 90.00 104.79 90.00
Space group Pm (No. 6)
Asymmetric unit:
Tc 0.0000 0.0000 0.0000 [1 per cell]
Ni 0.2745 0.0000 0.5454 [1 per cell]
Ni 0.4061 0.5000 0.8180 [1 per cell]
Ag 0.6683 0.5000 0.3327 [1 per cell]

Results
Its crystal system is monoclinic. The value obtained for the formation energy is 1.07 eV per formula unit. Its theoretical density is 10.00 Mg/m³. The magnetic moment comes out at 0.00 μB/f.u.